Mn5Ge3O12 (GGA+U, relaxed); crystal system = cubic; density of states at the Fermi level = 5.31 states/eV/f.u.; symmetry = No. 230; E_tot = -563.60 eV/cell
1.0
10.924 0.000 0.000
-3.641 10.300 0.000
-3.641 -5.150 8.920
O Ge Mn
48 12 20
direct
0.869 0.366 0.046 O
0.369 0.823 0.003 O
0.546 0.369 0.366 O
0.179 0.134 0.503 O
0.131 0.497 0.677 O
0.177 0.546 0.179 O
0.677 0.997 0.131 O
0.134 0.954 0.631 O
0.866 0.046 0.369 O
0.546 0.177 0.679 O
0.997 0.677 0.631 O
0.323 0.003 0.869 O
0.366 0.869 0.546 O
0.869 0.503 0.323 O
0.323 0.321 0.954 O
0.821 0.954 0.823 O
0.321 0.323 0.454 O
0.997 0.321 0.866 O
0.177 0.631 0.497 O
0.503 0.869 0.823 O
0.631 0.454 0.134 O
0.866 0.821 0.997 O
0.679 0.003 0.634 O
0.454 0.631 0.634 O
0.497 0.366 0.821 O
0.131 0.634 0.954 O
0.634 0.503 0.679 O
0.046 0.179 0.677 O
0.634 0.131 0.454 O
0.179 0.046 0.177 O
0.003 0.323 0.369 O
0.821 0.866 0.497 O
0.823 0.454 0.821 O
0.631 0.177 0.997 O
0.823 0.369 0.503 O
0.321 0.997 0.366 O
0.497 0.131 0.177 O
0.134 0.179 0.003 O
0.954 0.821 0.323 O
0.679 0.677 0.546 O
0.677 0.679 0.046 O
0.366 0.497 0.321 O
0.046 0.866 0.869 O
0.954 0.134 0.131 O
0.454 0.823 0.321 O
0.003 0.679 0.134 O
0.369 0.546 0.866 O
0.503 0.634 0.179 O
0.625 0.375 0.750 Ge
0.750 0.375 0.125 Ge
0.375 0.625 0.250 Ge
0.625 0.250 0.375 Ge
0.750 0.875 0.625 Ge
0.250 0.125 0.375 Ge
0.250 0.625 0.875 Ge
0.875 0.125 0.250 Ge
0.125 0.875 0.750 Ge
0.875 0.750 0.125 Ge
0.125 0.250 0.875 Ge
0.375 0.750 0.625 Ge
0.125 0.375 0.250 Mn
0.875 0.250 0.625 Mn
0.000 0.000 0.000 Mn
0.500 0.500 0.500 Mn
0.000 0.500 0.000 Mn
0.500 0.000 0.000 Mn
0.750 0.625 0.375 Mn
0.250 0.875 0.125 Mn
0.500 0.500 0.000 Mn
0.500 0.000 0.500 Mn
0.375 0.250 0.125 Mn
0.625 0.875 0.250 Mn
0.000 0.000 0.500 Mn
0.750 0.125 0.875 Mn
0.875 0.625 0.750 Mn
0.250 0.375 0.625 Mn
0.125 0.750 0.375 Mn
0.375 0.125 0.750 Mn
0.000 0.500 0.500 Mn
0.625 0.750 0.875 Mn